Version one
Computed, not measured: a relaxed ZrCoTcB crystal at the GGA-PBE level of DFT.

a = 6.0533 Å, b = 6.0533 Å, c = 6.0533 Å
α = 90.00°, β = 90.00°, γ = 90.00°
Space group F-43m (No. 216)
Inequivalent atoms, fractional coordinates:
Zr (0.0000, 0.0000, 0.0000) (multiplicity 4)
Co (0.0000, 0.0000, 0.5000) (multiplicity 4)
Tc (0.2500, 0.2500, 0.7500) (multiplicity 4)
B (0.2500, 0.2500, 0.2500) (multiplicity 4)



Version two
Computed, not measured: a relaxed ZrCoTcB crystal at the GGA-PBE level of DFT.

a = 5.9382 Å, b = 5.9382 Å, c = 5.9382 Å
α = 90.00°, β = 90.00°, γ = 90.00°
Space group F-43m (No. 216)
Inequivalent atoms, fractional coordinates:
Zr (0.0000, 0.0000, 0.0000) (multiplicity 4)
Co (0.2500, 0.2500, 0.7500) (multiplicity 4)
Tc (0.2500, 0.2500, 0.2500) (multiplicity 4)
B (0.0000, 0.0000, 0.5000) (multiplicity 4)



Energies relative to the minimum, meV/atom: version one 243; version two 0



Version one
Computed, not measured: a relaxed TmCoB crystal at the GGA-PBE level of DFT.

a = 5.9204 Å, b = 5.9204 Å, c = 5.9204 Å
α = 90.00°, β = 90.00°, γ = 90.00°
Space group F-43m (No. 216)
Inequivalent atoms, fractional coordinates:
Tm (0.0000, 0.0000, 0.0000) (multiplicity 4)
Co (0.2500, 0.2500, 0.2500) (multiplicity 4)
B (0.2500, 0.2500, 0.7500) (multiplicity 4)



Version two
Computed, not measured: a relaxed TmCoB crystal at the GGA-PBE level of DFT.

a = 5.6807 Å, b = 5.6807 Å, c = 5.6807 Å
α = 90.00°, β = 90.00°, γ = 90.00°
Space group F-43m (No. 216)
Inequivalent atoms, fractional coordinates:
Tm (0.0000, 0.0000, 0.0000) (multiplicity 4)
Co (0.2500, 0.2500, 0.7500) (multiplicity 4)
B (0.0000, 0.0000, 0.5000) (multiplicity 4)



Version three
Computed, not measured: a relaxed TmCoB crystal at the GGA-PBE level of DFT.

a = 5.6364 Å, b = 5.6364 Å, c = 5.6364 Å
α = 90.00°, β = 90.00°, γ = 90.00°
Space group F-43m (No. 216)
Inequivalent atoms, fractional coordinates:
Tm (0.0000, 0.0000, 0.0000) (multiplicity 4)
Co (0.0000, 0.0000, 0.5000) (multiplicity 4)
B (0.2500, 0.2500, 0.2500) (multiplicity 4)



Energies relative to the minimum, meV/atom: version one 987; version two 303; version three 0